[1]
The following is a PBE calculation of crystalline CaPr2WN4 at its relaxed geometry, from Alexandria via LeMat-Bulk.

Values from the calculation:
size of the total moment: 0.00 μB/cell
Fermi-level density of states: 18.8 states/eV per cell
uncorrected formation energy: -6.8 eV/f.u.

Cell and atoms, written as CIF:
```
data_CaPr2WN4
_space_group_name_H-M_alt 'C m c m'
_space_group_IT_number 63
_space_group_name_Hall '-C 2c 2'
_cell_length_a 3.547
_cell_length_b 12.271
_cell_length_c 12.614
_cell_angle_alpha 90.00
_cell_angle_beta 90.00
_cell_angle_gamma 90.00
loop_
_atom_site_label
_atom_site_fract_x
_atom_site_fract_y
_atom_site_fract_z
Ca1 0.000 0.106 0.250
Pr1 0.000 0.369 0.035
W1 0.000 0.167 0.750
N1 0.000 0.000 0.000
N2 0.000 0.264 0.634
N3 0.000 0.412 0.250
```



[2]
The following is a PBE calculation of crystalline Pm3Al at its relaxed geometry, from Alexandria via LeMat-Bulk.

Values from the calculation:
relative energy among the computed polymorphs: 0 meV/atom
formation enthalpy at 0 K: -0.742 eV/f.u.
size of the total moment: 0.00 μB/cell
Fermi-level density of states: 7.6 states/eV per cell

Cell and atoms, written as CIF:
```
data_Pm3Al
_space_group_name_H-M_alt 'P 63/m m c'
_space_group_IT_number 194
_space_group_name_Hall '-P 6c 2c'
_cell_length_a 7.0588
_cell_length_b 7.0588
_cell_length_c 5.3668
_cell_angle_alpha 90.00
_cell_angle_beta 90.00
_cell_angle_gamma 120.00
loop_
_atom_site_label
_atom_site_fract_x
_atom_site_fract_y
_atom_site_fract_z
Pm1 0.1778 0.3557 0.2500
Al1 0.3333 0.6667 0.7500
```



[3]
The following is a PBE calculation of crystalline GeAs2H4 at its relaxed geometry, from Alexandria via LeMat-Bulk.

Values from the calculation:
size of the total moment: 0.00 μB/cell
Fermi-level density of states: 2.9 states/eV per cell
final energy: -3.573 eV per atom

Cell and atoms, written as CIF:
```
data_GeAs2H4
_space_group_name_H-M_alt 'I 4/m m m'
_space_group_IT_number 139
_space_group_name_Hall '-I 4 2'
_cell_length_a 3.677
_cell_length_b 3.677
_cell_length_c 15.287
_cell_angle_alpha 90.00
_cell_angle_beta 90.00
_cell_angle_gamma 90.00
loop_
_atom_site_label
_atom_site_fract_x
_atom_site_fract_y
_atom_site_fract_z
Ge1 0.000 0.000 0.000
As1 0.000 0.000 0.235
H1 0.000 0.000 0.117
H2 0.000 0.500 0.000
```



[4]
The following is a PBE calculation of crystalline YMnSb2 at its relaxed geometry, from Alexandria via LeMat-Bulk.

Values from the calculation:
size of the total moment: 10.98 μB/cell
Fermi-level density of states: 7.4 states/eV per cell
uncorrected formation energy: -1.6 eV/f.u.

Cell and atoms, written as CIF:
```
data_YMnSb2
_space_group_name_H-M_alt 'R -3 m'
_space_group_IT_number 166
_space_group_name_Hall '-R 3 2"'
_cell_length_a 4.2372
_cell_length_b 4.2372
_cell_length_c 19.6623
_cell_angle_alpha 90.00
_cell_angle_beta 90.00
_cell_angle_gamma 120.00
loop_
_atom_site_label
_atom_site_fract_x
_atom_site_fract_y
_atom_site_fract_z
Y1 0.0000 0.0000 0.0000
Mn1 0.0000 0.0000 0.5000
Sb1 0.0000 0.0000 0.2374
```



[5]
The following is a PBE calculation of crystalline Li2MgBr2 at its relaxed geometry, from Alexandria via LeMat-Bulk.

Values from the calculation:
relative energy among the computed polymorphs: 0 meV/atom
size of the total moment: 0.00 μB/cell
Fermi-level density of states: 0.0 states/eV per cell
uncorrected formation energy: -4.3 eV/f.u.

Cell and atoms, written as CIF:
```
data_Li2MgBr2
_space_group_name_H-M_alt 'I 4/m m m'
_space_group_IT_number 139
_space_group_name_Hall '-I 4 2'
_cell_length_a 5.227
_cell_length_b 5.227
_cell_length_c 14.188
_cell_angle_alpha 90.00
_cell_angle_beta 90.00
_cell_angle_gamma 90.00
loop_
_atom_site_label
_atom_site_fract_x
_atom_site_fract_y
_atom_site_fract_z
Li1 0.000 0.000 0.247
Mg1 0.000 0.000 0.000
Br1 0.000 0.500 0.250
```



[6]
The following is a PBE calculation of crystalline Ba2HgWBr at its relaxed geometry, from Alexandria via LeMat-Bulk.

Values from the calculation:
size of the total moment: 4.99 μB/cell
Fermi-level density of states: 3.0 states/eV per cell
uncorrected formation energy: 4.6 eV/f.u.

Cell and atoms, written as CIF:
```
data_Ba2HgWBr
_space_group_name_H-M_alt 'P 4/m m m'
_space_group_IT_number 123
_space_group_name_Hall '-P 4 2'
_cell_length_a 6.452
_cell_length_b 6.452
_cell_length_c 5.905
_cell_angle_alpha 90.00
_cell_angle_beta 90.00
_cell_angle_gamma 90.00
loop_
_atom_site_label
_atom_site_fract_x
_atom_site_fract_y
_atom_site_fract_z
Ba1 0.000 0.500 0.000
Hg1 0.000 0.000 0.000
W1 0.500 0.500 0.500
Br1 0.000 0.000 0.500
```



[7]
The following is a PBE calculation of crystalline La2PmNd4Er at its relaxed geometry, from Alexandria via LeMat-Bulk.

Values from the calculation:
formation enthalpy at 0 K: 0.162 eV/f.u.
size of the total moment: 0.00 μB/cell
Fermi-level density of states: 13.6 states/eV per cell

Cell and atoms, written as CIF:
```
data_La2PmNd4Er
_space_group_name_H-M_alt 'P 1 2/m 1'
_space_group_IT_number 10
_cell_length_a 5.178
_cell_length_b 5.193
_cell_length_c 10.438
_cell_angle_alpha 90.00
_cell_angle_beta 90.08
_cell_angle_gamma 90.00
loop_
_space_group_symop_operation_xyz
'x,y,z'
'-x,-y,-z'
'-x,y,-z'
'x,-y,z'
loop_
_atom_site_label
_atom_site_fract_x
_atom_site_fract_y
_atom_site_fract_z
La1 0.000 0.000 0.000
La2 0.500 0.500 0.500
Pm1 0.000 0.000 0.500
Nd1 0.001 0.500 0.752
Nd2 0.500 0.000 0.249
Er1 0.500 0.500 0.000
```



[8]
The following is a PBE calculation of crystalline Na3LiSn at its relaxed geometry, from Alexandria via LeMat-Bulk.

Values from the calculation:
relative energy among the computed polymorphs: 0 meV/atom
formation enthalpy at 0 K: -0.798 eV/f.u.
size of the total moment: 0.00 μB/cell
Fermi-level density of states: 1.2 states/eV per cell

Cell and atoms, written as CIF:
```
data_Na3LiSn
_space_group_name_H-M_alt 'P 1'
_space_group_IT_number 1
_cell_length_a 5.262
_cell_length_b 5.276
_cell_length_c 6.186
_cell_angle_alpha 65.44
_cell_angle_beta 65.05
_cell_angle_gamma 60.21
loop_
_space_group_symop_operation_xyz
'x,y,z'
loop_
_atom_site_label
_atom_site_fract_x
_atom_site_fract_y
_atom_site_fract_z
Na1 0.000 0.000 0.000
Na2 0.185 0.186 0.443
Na3 0.590 0.592 0.230
Li1 0.414 0.414 0.760
Sn1 0.785 0.786 0.643
```



[9]
The following is a PBE calculation of crystalline TlRuW at its relaxed geometry, from Alexandria via LeMat-Bulk.

Values from the calculation:
relative energy among the computed polymorphs: 215 meV/atom
formation enthalpy at 0 K: 2.051 eV/f.u.
size of the total moment: 0.00 μB/cell
Fermi-level density of states: 9.9 states/eV per cell

Cell and atoms, written as CIF:
```
data_TlRuW
_space_group_name_H-M_alt 'F m m 2'
_space_group_IT_number 42
_space_group_name_Hall 'F 2 -2'
_cell_length_a 3.039
_cell_length_b 4.977
_cell_length_c 14.303
_cell_angle_alpha 90.00
_cell_angle_beta 90.00
_cell_angle_gamma 90.00
loop_
_atom_site_label
_atom_site_fract_x
_atom_site_fract_y
_atom_site_fract_z
Tl1 0.000 0.000 0.000
Ru1 0.000 0.000 0.674
W1 0.000 0.000 0.317
```



[10]
The following is a PBE calculation of crystalline Mg2CdMo at its relaxed geometry, from Alexandria via LeMat-Bulk.

Values from the calculation:
formation enthalpy at 0 K: 1.268 eV/f.u.
size of the total moment: 0.00 μB/cell
Fermi-level density of states: 3.4 states/eV per cell

Cell and atoms, written as CIF:
```
data_Mg2CdMo
_space_group_name_H-M_alt 'P m m 2'
_space_group_IT_number 25
_cell_length_a 2.904
_cell_length_b 4.411
_cell_length_c 5.929
_cell_angle_alpha 90.00
_cell_angle_beta 90.00
_cell_angle_gamma 90.00
loop_
_space_group_symop_operation_xyz
'x,y,z'
'-x,-y,z'
'-x,y,z'
'x,-y,z'
loop_
_atom_site_label
_atom_site_fract_x
_atom_site_fract_y
_atom_site_fract_z
Mg1 0.000 0.000 0.000
Mg2 0.500 0.500 0.271
Cd1 0.500 0.500 0.740
Mo1 0.000 0.000 0.494
```



[11]
The following is a PBE calculation of crystalline Sn2HgPb5 at its relaxed geometry, from Alexandria via LeMat-Bulk.

Values from the calculation:
formation enthalpy at 0 K: 0.479 eV/f.u.
size of the total moment: 0.00 μB/cell
Fermi-level density of states: 11.6 states/eV per cell

Cell and atoms, written as CIF:
```
data_Sn2HgPb5
_space_group_name_H-M_alt 'I 4 m m'
_space_group_IT_number 107
_space_group_name_Hall 'I 4 -2'
_cell_length_a 8.286
_cell_length_b 8.286
_cell_length_c 6.994
_cell_angle_alpha 90.00
_cell_angle_beta 90.00
_cell_angle_gamma 90.00
loop_
_atom_site_label
_atom_site_fract_x
_atom_site_fract_y
_atom_site_fract_z
Sn1 0.000 0.500 0.000
Hg1 0.000 0.000 0.000
Pb1 0.000 0.000 0.501
Pb2 0.250 0.250 0.250
```



[12]
The following is a PBE calculation of crystalline SrY2PAu at its relaxed geometry, from Alexandria via LeMat-Bulk.

Values from the calculation:
formation enthalpy at 0 K: 0.381 eV/f.u.
size of the total moment: 0.00 μB/cell
Fermi-level density of states: 5.1 states/eV per cell

Cell and atoms, written as CIF:
```
data_SrY2PAu
_space_group_name_H-M_alt 'P 4/m m m'
_space_group_IT_number 123
_space_group_name_Hall '-P 4 2'
_cell_length_a 5.636
_cell_length_b 5.636
_cell_length_c 5.005
_cell_angle_alpha 90.00
_cell_angle_beta 90.00
_cell_angle_gamma 90.00
loop_
_atom_site_label
_atom_site_fract_x
_atom_site_fract_y
_atom_site_fract_z
Sr1 0.000 0.000 0.000
Y1 0.000 0.500 0.500
P1 0.500 0.500 0.000
Au1 0.500 0.500 0.500
```